Entry from the Alexandria database: a geometry-optimized NaEuS structure (GGA-PBE).

The structure in extended XYZ format:
```
3
Lattice="-3.902 -4.733 -3.012 0.960 -2.711 3.017 -3.324 2.481 0.408" Properties=species:S:1:pos:R:3 pbc="T T T"
Eu -3.628 -1.351 -0.060
Na -3.510 -4.258 -2.709
S -3.030 -4.088 0.170
```



Entry from the Alexandria database: a geometry-optimized NaEuSeS structure (GGA-PBE).

The structure in extended XYZ format:
```
4
Lattice="-2.559 1.581 -4.051 -2.541 -3.314 -2.830 -5.045 -0.008 0.042" Properties=species:S:1:pos:R:3 pbc="T T T"
Eu -7.608 -1.306 -5.129
Na -2.536 -0.435 -1.710
S 0.000 0.000 0.000
Se -5.072 -0.871 -3.420
```



Entry from the Alexandria database: a geometry-optimized NaEu2Sb structure (GGA-PBE).

The structure in extended XYZ format:
```
4
Lattice="4.163 0.000 0.000 0.000 4.163 0.000 0.000 0.000 8.055" Properties=species:S:1:pos:R:3 pbc="T T T"
Eu 0.000 0.000 6.416
Eu 0.000 0.000 1.639
Sb 2.082 2.082 0.000
Na 2.082 2.082 4.027
```

Results
ΔE to the lowest computed polymorph: 15.8 meV per atom



Entry from the Alexandria database: a geometry-optimized NaEu2Sb structure (GGA-PBE).

The structure in extended XYZ format:
```
4
Lattice="4.564 0.000 0.000 0.000 5.278 0.000 0.000 0.000 5.278" Properties=species:S:1:pos:R:3 pbc="T T T"
Eu 0.000 0.000 2.639
Eu 0.000 2.639 0.000
Sb 2.282 0.000 0.000
Na 2.282 2.639 2.639
```

Results
ΔE to the lowest computed polymorph: 0.0 meV per atom



| no. | uncorrected energy (eV for the cell shown) | ρ (g/cm3) | total moment (μB per atom) |
| --- | --- | --- | --- |
| 1 | -19.06 | 3.34 | 2.411 |
| 2 | -24.43 | 5.23 | 1.549 |
| 3 | -28.09 | 5.34 | 3.536 |
| 4 | -28.15 | 5.86 | 3.604 |